Arrangement i

Entry from Alexandria via LeMat-Bulk: BeCd2I at its PBEsol-relaxed geometry (SCAN).

The structure belongs to space group Fm-3m (No. 225); the cell edges are 7.3191, 7.3191 and 7.3191 Å and the angles 90.00°, 90.00° and 90.00°. The inequivalent atoms are Be at (0.0000, 0.0000, 0.0000), Cd at (0.2500, 0.2500, 0.2500) and I at (0.0000, 0.0000, 0.5000).

The calculation puts the density of states at the Fermi level at 0.45 states/eV per atom.

Arrangement ii

Entry from Alexandria via LeMat-Bulk: BeCd2I at its PBEsol-relaxed geometry (SCAN).

The structure belongs to space group I-42d (No. 122); the cell edges are 7.7267, 7.7267 and 6.2746 Å and the angles 90.00°, 90.00° and 90.00°. The inequivalent atoms are Be at (0.0000, 0.0000, 0.0000), Cd at (0.1833, 0.2500, 0.1250) and I at (0.0000, 0.0000, 0.5000).

The calculation puts the density of states at the Fermi level at 0.25 states/eV per atom.

Stability order, top to bottom: arrangement ii, arrangement i

Arrangement i

Entry from Alexandria via LeMat-Bulk: Be2CdIn at its PBEsol-relaxed geometry (SCAN).

The structure belongs to space group Pmmm (No. 47); the cell edges are 2.7773, 4.2248 and 5.7525 Å and the angles 90.00°, 90.00° and 90.00°. The inequivalent atoms are Be at (0.0000, 0.0000, 0.0000), Be at (0.5000, 0.0000, 0.5000), Cd at (0.0000, 0.5000, 0.5000) and In at (0.5000, 0.5000, 0.0000).

The calculation puts the density of states at the Fermi level at 0.27 states/eV per atom.

Arrangement ii

Entry from Alexandria via LeMat-Bulk: Be2CdIn at its PBEsol-relaxed geometry (SCAN).

The structure belongs to space group Cmmm (No. 65); the cell edges are 5.4969, 7.5681 and 3.0139 Å and the angles 90.00°, 90.00° and 90.00°. The inequivalent atoms are Be at (0.2500, 0.2500, 0.0000), Cd at (0.0000, 0.0000, 0.5000) and In at (0.0000, 0.5000, 0.5000).

The calculation puts the density of states at the Fermi level at 0.35 states/eV per atom.

Stability order, top to bottom: arrangement ii, arrangement i

Arrangement i

Entry from Alexandria via LeMat-Bulk: BeCdIr at its PBEsol-relaxed geometry (SCAN).

The structure belongs to space group P-6m2 (No. 187); the cell edges are 3.9871, 3.9871 and 3.1009 Å and the angles 90.00°, 90.00° and 120.00°. The inequivalent atoms are Be at (0.0000, 0.0000, 0.0000), Cd at (0.6667, 0.3333, 0.5000) and Ir at (0.3333, 0.6667, 0.0000).

The calculation puts the density of states at the Fermi level at 0.23 states/eV per atom.

Arrangement ii

Entry from Alexandria via LeMat-Bulk: BeCdIr at its PBEsol-relaxed geometry (SCAN).

The structure belongs to space group P3m1 (No. 156); the cell edges are 2.8096, 2.8096 and 6.2728 Å and the angles 90.00°, 90.00° and 120.00°. The inequivalent atoms are Be at (0.0000, 0.0000, 0.0000), Cd at (0.3333, 0.6667, 0.6393) and Ir at (0.6667, 0.3333, 0.2518).

The calculation puts the density of states at the Fermi level at 0.25 states/eV per atom.

Stability order, top to bottom: arrangement i, arrangement ii

Arrangement i

Entry from Alexandria via LeMat-Bulk: Li2BeCd at its PBEsol-relaxed geometry (SCAN).

The structure belongs to space group Fm-3m (No. 225); the cell edges are 6.0847, 6.0847 and 6.0847 Å and the angles 90.00°, 90.00° and 90.00°. The inequivalent atoms are Li at (0.2500, 0.2500, 0.2500), Be at (0.0000, 0.0000, 0.0000) and Cd at (0.0000, 0.0000, 0.5000).

The calculation puts the density of states at the Fermi level at 0.34 states/eV per atom.

Arrangement ii

Entry from Alexandria via LeMat-Bulk: Li2BeCd at its PBEsol-relaxed geometry (SCAN).

The structure belongs to space group Pmm2 (No. 25); the cell edges are 2.7222, 3.8789 and 5.6630 Å and the angles 90.00°, 90.00° and 90.00°. The inequivalent atoms are Li at (0.0000, 0.0000, 0.0000), Li at (0.5000, 0.5000, 0.2655), Be at (0.0000, 0.0000, 0.5093) and Cd at (0.5000, 0.5000, 0.7302).

The calculation puts the density of states at the Fermi level at 0.31 states/eV per atom.

Stability order, top to bottom: arrangement ii, arrangement i

Arrangement i

Entry from Alexandria via LeMat-Bulk: BeCdMo at its PBEsol-relaxed geometry (SCAN).

The structure belongs to space group I4mm (No. 107); the cell edges are 2.7010, 2.7010 and 11.8384 Å and the angles 90.00°, 90.00° and 90.00°. The inequivalent atoms are Be at (0.0000, 0.0000, 0.0000), Cd at (0.0000, 0.0000, 0.6623) and Mo at (0.0000, 0.0000, 0.3574).

The calculation puts the density of states at the Fermi level at 0.39 states/eV per atom.

Arrangement ii

Entry from Alexandria via LeMat-Bulk: BeCdMo at its PBEsol-relaxed geometry (SCAN).

The structure belongs to space group P3m1 (No. 156); the cell edges are 2.7755, 2.7755 and 6.6944 Å and the angles 90.00°, 90.00° and 120.00°. The inequivalent atoms are Be at (0.0000, 0.0000, 0.0000), Cd at (0.3333, 0.6667, 0.6677) and Mo at (0.6667, 0.3333, 0.2914).

The calculation puts the density of states at the Fermi level at 0.51 states/eV per atom.

Stability order, top to bottom: arrangement i, arrangement ii

Arrangement i

Entry from Alexandria via LeMat-Bulk: BeCdOs2 at its PBEsol-relaxed geometry (SCAN).

The structure belongs to space group Immm (No. 71); the cell edges are 2.7859, 4.3702 and 8.9752 Å and the angles 90.00°, 90.00° and 90.00°. The inequivalent atoms are Be at (0.0000, 0.0000, 0.0000), Cd at (0.0000, 0.0000, 0.5000) and Os at (0.0000, 0.5000, 0.2891).

The calculation puts the density of states at the Fermi level at 0.69 states/eV per atom.

Arrangement ii

Entry from Alexandria via LeMat-Bulk: BeCdOs2 at its PBEsol-relaxed geometry (SCAN).

The structure belongs to space group Cmmm (No. 65); the cell edges are 2.8824, 4.5214 and 8.5266 Å and the angles 90.00°, 90.00° and 90.00°. The inequivalent atoms are Be at (0.0000, 0.0000, 0.0000), Cd at (0.0000, 0.0000, 0.5000) and Os at (0.0000, 0.5000, 0.2126).

The calculation puts the density of states at the Fermi level at 0.69 states/eV per atom.

Arrangement iii

Entry from Alexandria via LeMat-Bulk: BeCdOs2 at its PBEsol-relaxed geometry (SCAN).

The structure belongs to space group Fm-3m (No. 225); the cell edges are 6.0461, 6.0461 and 6.0461 Å and the angles 90.00°, 90.00° and 90.00°. The inequivalent atoms are Be at (0.0000, 0.0000, 0.0000), Cd at (0.0000, 0.0000, 0.5000) and Os at (0.2500, 0.2500, 0.2500).

The calculation puts the density of states at the Fermi level at 0.93 states/eV per atom.

Stability order, top to bottom: arrangement i, arrangement ii, arrangement iii

Arrangement i

Entry from Alexandria via LeMat-Bulk: BeCd2P at its PBEsol-relaxed geometry (SCAN).

The structure belongs to space group R3m (No. 160, hexagonal axes); the cell edges are 3.6033, 3.6033 and 19.0753 Å and the angles 90.00°, 90.00° and 120.00°. The inequivalent atoms are Be at (0.0000, 0.0000, 0.0000), Cd at (0.0000, 0.0000, 0.5467), Cd at (0.0000, 0.0000, 0.7720) and P at (0.0000, 0.0000, 0.3219).

The calculation puts the density of states at the Fermi level at 0.25 states/eV per atom.

Arrangement ii

Entry from Alexandria via LeMat-Bulk: BeCd2P at its PBEsol-relaxed geometry (SCAN).

The structure belongs to space group Pmmm (No. 47); the cell edges are 3.9873, 4.0385 and 4.2191 Å and the angles 90.00°, 90.00° and 90.00°. The inequivalent atoms are Be at (0.0000, 0.0000, 0.0000), Cd at (0.5000, 0.0000, 0.5000), Cd at (0.5000, 0.5000, 0.0000) and P at (0.0000, 0.5000, 0.5000).

The calculation puts the density of states at the Fermi level at 0.34 states/eV per atom.

Stability order, top to bottom: arrangement i, arrangement ii

Arrangement i

Entry from Alexandria via LeMat-Bulk: Be2CdP at its PBEsol-relaxed geometry (SCAN).

The structure belongs to space group R3m (No. 160, hexagonal axes); the cell edges are 2.7021, 2.7021 and 26.7978 Å and the angles 90.00°, 90.00° and 120.00°. The inequivalent atoms are Be at (0.0000, 0.0000, 0.0000), Be at (0.0000, 0.0000, 0.2694), Cd at (0.0000, 0.0000, 0.5152) and P at (0.0000, 0.0000, 0.7304).

The calculation puts the density of states at the Fermi level at 0.37 states/eV per atom.

Arrangement ii

Entry from Alexandria via LeMat-Bulk: Be2CdP at its PBEsol-relaxed geometry (SCAN).

The structure belongs to space group Amm2 (No. 38); the cell edges are 3.4380, 3.4302 and 10.4321 Å and the angles 90.00°, 90.00° and 90.00°. The inequivalent atoms are Be at (0.0000, 0.0000, 0.0000), Be at (0.5000, 0.0000, 0.4924), Cd at (0.5000, 0.0000, 0.8114) and P at (0.0000, 0.0000, 0.6127).

The calculation puts the density of states at the Fermi level at 0.19 states/eV per atom.

Arrangement iii

Entry from Alexandria via LeMat-Bulk: Be2CdP at its PBEsol-relaxed geometry (SCAN).

The structure belongs to space group Cm (No. 8); the cell edges are 7.0688, 3.3351 and 5.3692 Å and the angles 90.00°, 98.37° and 90.00°. The inequivalent atoms are Be at (0.0000, 0.0000, 0.0000), Be at (0.2064, 0.5000, 0.9179), Cd at (0.2927, 0.0000, 0.3047) and P at (0.4129, 0.0000, 0.7698).

The calculation puts the density of states at the Fermi level at 0.19 states/eV per atom.

Arrangement iv

Entry from Alexandria via LeMat-Bulk: Be2CdP at its PBEsol-relaxed geometry (SCAN).

The structure belongs to space group Immm (No. 71); the cell edges are 3.3272, 4.6141 and 7.2403 Å and the angles 90.00°, 90.00° and 90.00°. The inequivalent atoms are Be at (0.0000, 0.0000, 0.2067), Cd at (0.0000, 0.5000, 0.0000) and P at (0.0000, 0.5000, 0.5000).

The calculation puts the density of states at the Fermi level at 0.32 states/eV per atom.

Stability order, top to bottom: arrangement ii, arrangement iii, arrangement i, arrangement iv